# CuP2CCl

CuP2CCl after structural relaxation (GGA-PBE, Alexandria via LeMat-Bulk). Values from VASP.

Computed properties:
DOS(E_F) ... 1.12 states/eV/atom
Raw total energy ... -3.2517 eV per atom
Crystal system ... tetragonal
Formation energy from raw total energies ... 188 kJ per mole of atoms

```
&SYSTEM
  ibrav = 0, nat = 5, ntyp = 4
/
ATOMIC_SPECIES
Cu 63.55 Cu.upf
P 30.97 P.upf
C 12.01 C.upf
Cl 35.45 Cl.upf
CELL_PARAMETERS angstrom
4.481 0.000 0.000
0.000 4.481 0.000
0.000 0.000 4.649
ATOMIC_POSITIONS crystal
Cu 0.000 0.000 0.000
P 0.000 0.500 0.000
P 0.500 0.000 0.000
C 0.500 0.500 0.500
Cl 0.000 0.000 0.500
```